{"formula": "PrAgGeTe3", "functional": "PBE", "state": "relaxed", "lattice": [[2.133, -7.298, 0.000], [2.133, 7.298, 0.000], [0.000, 0.000, 11.513]], "species": ["Pr", "Pr", "Ag", "Ag", "Ge", "Ge", "Te", "Te", "Te", "Te", "Te", "Te"], "frac_coords": [[0.000, 0.000, 0.000], [0.000, 0.000, 0.500], [0.478, 0.522, 0.750], [0.522, 0.478, 0.250], [0.220, 0.780, 0.250], [0.780, 0.220, 0.750], [0.107, 0.893, 0.750], [0.346, 0.654, 0.573], [0.346, 0.654, 0.927], [0.654, 0.346, 0.073], [0.654, 0.346, 0.427], [0.893, 0.107, 0.250]], "mass_density_g_cm3": 6.5, "final_energy_ev_per_fu": -24.97, "sg": "Cmcm, No. 63"}